(1)
LaCuNiPb | the Open Quantum Materials Database | GGA-PBE | relaxed; ΔE to the lowest computed polymorph = 0.0 meV per atom; uncorrected energy = -18.77 eV per cell; crystal system = cubic
1.0
-3.680 -1.464 2.814
-3.545 -2.744 -1.871
-0.378 -4.675 1.266
Ni Cu La Pb
1 1 1 1
direct
0.250 0.250 0.250
0.750 0.750 0.750
0.500 0.500 0.500
0.000 0.000 0.000


(2)
BeCuSiHg | the Open Quantum Materials Database | GGA-PBE | relaxed; ΔE to the lowest computed polymorph = 86.9 meV per atom; uncorrected energy = -10.67 eV per cell; crystal system = cubic
1.0
0.000 3.122 3.122
3.122 0.000 3.122
3.122 3.122 0.000
Cu Be Hg Si
1 1 1 1
direct
0.750 0.750 0.750
0.500 0.500 0.500
0.250 0.250 0.250
0.000 0.000 0.000


(3)
K2PrCl5 | the Open Quantum Materials Database | GGA-PBE | relaxed; uncorrected energy = -134.21 eV per cell; crystal system = orthorhombic
1.0
0.000 0.000 -8.046
0.000 -8.813 0.000
-12.802 0.000 0.000
K Cl Pr
8 20 4
direct
0.051 0.505 0.828
0.949 0.005 0.172
0.551 0.495 0.672
0.449 0.505 0.328
0.551 0.005 0.672
0.449 0.995 0.328
0.051 0.995 0.828
0.949 0.495 0.172
0.425 0.250 0.507
0.130 0.750 0.318
0.834 0.044 0.421
0.075 0.250 0.007
0.334 0.956 0.079
0.167 0.250 0.294
0.166 0.544 0.579
0.166 0.956 0.579
0.575 0.750 0.493
0.334 0.544 0.079
0.925 0.750 0.993
0.870 0.250 0.682
0.630 0.250 0.182
0.666 0.044 0.921
0.667 0.750 0.206
0.333 0.250 0.794
0.666 0.456 0.921
0.834 0.456 0.421
0.370 0.750 0.818
0.833 0.750 0.706
0.424 0.250 0.007
0.576 0.750 0.993
0.924 0.750 0.493
0.076 0.250 0.507


(4)
AgHgNO | the Open Quantum Materials Database | GGA-PBE | relaxed; ΔE to the lowest computed polymorph = 46.0 meV per atom; uncorrected energy = -26.17 eV per cell; crystal system = orthorhombic
1.0
-1.714 -2.969 0.000
0.000 0.000 6.044
-5.409 3.123 0.000
O Ag Hg N
2 2 2 2
direct
0.500 0.356 0.158
0.500 0.856 0.842
0.500 0.998 0.167
0.500 0.498 0.833
0.000 0.020 0.654
0.000 0.520 0.346
0.000 0.380 0.675
0.000 0.880 0.325


(5)
GaTcNO | the Open Quantum Materials Database | GGA-PBE | relaxed; ΔE to the lowest computed polymorph = 237.0 meV per atom; uncorrected energy = -56.85 eV per cell; crystal system = orthorhombic
1.0
-1.542 -2.671 0.000
0.000 0.000 5.019
-5.175 2.988 0.000
Tc N Ga O
2 2 2 2
direct
0.000 0.481 0.413
0.000 0.981 0.587
0.000 0.857 0.267
0.000 0.357 0.733
0.500 0.018 0.155
0.500 0.518 0.845
0.500 0.399 0.160
0.500 0.899 0.840


(6)
Ho2In | the Open Quantum Materials Database | GGA-PBE | relaxed; uncorrected energy = -14.78 eV per cell; crystal system = cubic
1.0
4.670 2.696 7.626
-4.670 2.696 7.626
0.000 -5.392 7.626
Ho In
4 2
direct
0.875 0.375 0.375
0.375 0.875 0.375
0.375 0.375 0.875
0.375 0.375 0.375
0.500 0.500 0.500
0.250 0.250 0.250


(7)
LuHfCuPt | the Open Quantum Materials Database | GGA-PBE | relaxed; ΔE to the lowest computed polymorph = 0.0 meV per atom; uncorrected energy = -26.93 eV per cell; formation energy = -0.670 eV per atom; crystal system = cubic
1.0
0.000 3.340 3.340
3.340 0.000 3.340
3.340 3.340 0.000
Cu Hf Lu Pt
1 1 1 1
direct
0.750 0.750 0.750
0.500 0.500 0.500
0.000 0.000 0.000
0.250 0.250 0.250


(8)
TlIrPd2 | the Open Quantum Materials Database | GGA-PBE | relaxed; uncorrected energy = -20.80 eV per cell; crystal system = cubic
1.0
0.810 -3.176 3.168
-2.995 -0.675 3.370
-2.500 -3.811 0.099
Pd Tl Ir
2 1 1
direct
0.000 0.000 0.000
0.750 0.750 0.750
0.500 0.500 0.500
0.250 0.250 0.250


(9)
DyGa2Fe | the Open Quantum Materials Database | GGA-PBE | relaxed; uncorrected energy = -41.21 eV per cell; crystal system = orthorhombic
1.0
2.051 -8.937 0.000
2.051 8.937 0.000
0.000 0.000 4.005
Ga Fe Dy
4 2 2
direct
0.000 0.000 0.500
0.500 0.500 0.000
0.791 0.209 0.000
0.209 0.791 0.000
0.075 0.925 0.000
0.925 0.075 0.000
0.358 0.642 0.500
0.642 0.358 0.500


(10)
AgB2Os | the Open Quantum Materials Database | GGA-PBE | relaxed; uncorrected energy = -20.18 eV per cell; crystal system = cubic
1.0
-0.145 -3.585 -1.963
-3.416 -2.248 0.097
-2.284 -0.396 -3.370
Ag B Os
1 2 1
direct
0.250 0.250 0.250
0.000 0.000 0.000
0.750 0.750 0.750
0.500 0.500 0.500